Entry 1:
8
Lattice="5.4809 0.0000 0.0000 0.0000 5.4809 0.0000 0.0000 0.0000 5.4809" Properties=species:S:1:pos:R:3 comment="Zr3Mn, relaxed, DFT PBE" formation_energy_kcal_per_mol_atoms=2.9 final_energy_ev_per_cell=-68.61 pbc="T T T"
Zr 0.0000 1.3702 2.7404
Zr 0.0000 4.1107 2.7404
Zr 1.3702 2.7404 0.0000
Zr 2.7404 0.0000 1.3702
Zr 2.7404 0.0000 4.1107
Zr 4.1107 2.7404 0.0000
Mn 0.0000 0.0000 0.0000
Mn 2.7404 2.7404 2.7404

***

Entry 2:
10
Lattice="7.9111 0.0000 0.0000 0.0000 7.9111 0.0000 0.0000 0.0000 3.0166" Properties=species:S:1:pos:R:3 comment="CaNb2Tc2, relaxed, DFT PBE" formation_energy_kcal_per_mol_atoms=4.6 final_energy_ev_per_cell=-83.74 pbc="T T T"
Ca 0.0000 0.0000 0.0000
Ca 3.9555 3.9555 0.0000
Nb 1.1125 2.8431 0.0000
Nb 2.8431 6.7986 0.0000
Nb 5.0680 1.1125 0.0000
Nb 6.7986 5.0680 0.0000
Tc 1.1932 5.1487 1.5083
Tc 2.7624 1.1932 1.5083
Tc 5.1487 6.7179 1.5083
Tc 6.7179 2.7624 1.5083

***

Entry 3:
5
Lattice="5.1750 0.0000 0.0000 0.0000 5.1750 0.0000 0.0000 0.0000 5.1914" Properties=species:S:1:pos:R:3 comment="CoSiSb2Te, relaxed, DFT PBE" final_energy_ev_per_cell=-18.52 pbc="T T T"
Co 0.0000 0.0000 0.0000
Si 2.5875 2.5875 2.5957
Sb 0.0000 2.5875 2.5957
Sb 2.5875 0.0000 2.5957
Te 2.5875 2.5875 0.0000

***

Entry 4:
20
Lattice="6.2519 -6.0519 0.0000 6.2519 6.0519 0.0000 -2.1285 0.0000 5.5021" Properties=species:S:1:pos:R:3 comment="Ca2Zn3Ag5, relaxed, DFT PBE" formation_energy_kcal_per_mol_atoms=-4.3 final_energy_ev_per_cell=-47.86 pbc="T T T"
Ca 2.7432 3.1931 4.6144
Ca 6.5678 3.1931 3.6388
Ca 3.8074 -3.1931 1.8633
Ca 7.6320 -3.1931 0.8877
Zn 3.9385 4.4445 1.9409
Zn 7.5010 4.4445 0.8101
Zn 4.6555 0.3442 4.1266
Zn 5.7197 -0.3442 1.3755
Zn 2.8743 -4.4445 4.6920
Zn 6.4367 -4.4445 3.5612
Ag 4.6555 5.7967 4.1266
Ag 4.2753 1.8734 1.9560
Ag 1.1551 0.0068 5.4978
Ag 2.2194 -0.0068 2.7467
Ag 7.1642 1.8734 0.7950
Ag 3.2111 -1.8734 4.7071
Ag 8.1559 0.0068 2.7554
Ag 9.2201 -0.0068 0.0043
Ag 6.1000 -1.8734 3.5461
Ag 5.7197 -5.7967 1.3755

***

Entry 5:
10
Lattice="6.9418 0.0000 0.0000 0.0000 6.9418 0.0000 0.0000 0.0000 3.6964" Properties=species:S:1:pos:R:3 comment="Pu2ZnCo2, relaxed, DFT PBE" formation_energy_kcal_per_mol_atoms=-2.0 final_energy_ev_per_cell=-89.15 pbc="T T T"
Pu 1.2013 2.2696 0.0000
Pu 2.2696 5.7405 0.0000
Pu 4.6722 1.2013 0.0000
Pu 5.7405 4.6722 0.0000
Zn 0.0000 0.0000 1.8482
Zn 3.4709 3.4709 1.8482
Co 0.9234 4.3943 1.8482
Co 2.5475 0.9234 1.8482
Co 4.3943 6.0184 1.8482
Co 6.0184 2.5475 1.8482

***

Entry 6:
3
Lattice="4.2788 0.0000 0.0000 -2.1394 3.7056 0.0000 0.0000 0.0000 3.0848" Properties=species:S:1:pos:R:3 comment="HfBeAg, relaxed, DFT PBE" formation_energy_kcal_per_mol_atoms=1.6 final_energy_ev_per_cell=-16.33 pbc="T T T"
Hf 0.0000 0.0000 0.0000
Be 0.0000 2.4704 1.5424
Ag 2.1394 1.2352 1.5424

***

Entry 7:
12
Lattice="6.9983 -3.1464 0.0000 6.9983 3.1464 0.0000 -3.5394 0.0000 7.8084" Properties=species:S:1:pos:R:3 comment="Ac3Pd2O, relaxed, DFT PBE" final_energy_ev_per_cell=-71.31 pbc="T T T"
Ac 4.3438 2.8919 5.8563
Ac 1.3642 0.0777 7.6702
Ac 3.1339 -0.0777 3.7660
Ac 7.3234 0.0777 4.0424
Ac 9.0931 -0.0777 0.1382
Ac 6.1135 -2.8919 1.9521
Pd 0.2295 0.1067 4.7544
Pd 1.9992 -0.1067 0.8501
Pd 8.4581 0.1067 6.9583
Pd 10.2278 -0.1067 3.0541
O 4.3438 0.4712 5.8563
O 6.1135 -0.4712 1.9521

***

Entry 8:
5
Lattice="-3.0424 3.0424 10.6032 3.0424 -3.0424 10.6032 3.0424 3.0424 -10.6032" Properties=species:S:1:pos:R:3 comment="K2Rb2Sr, relaxed, DFT PBE" formation_energy_kcal_per_mol_atoms=4.5 final_energy_ev_per_cell=-4.84 pbc="T T T"
K 0.0000 0.0000 1.9365
K 0.0000 0.0000 19.2698
Rb 3.0424 0.0000 5.3016
Rb 0.0000 3.0424 5.3016
Sr 0.0000 0.0000 10.6032

***

Entry 9:
4
Lattice="1.5166 0.8756 9.1638 -1.5166 0.8756 9.1638 0.0000 -1.7512 9.1638" Properties=species:S:1:pos:R:3 comment="Sc2FeW, relaxed, DFT PBE" formation_energy_kcal_per_mol_atoms=7.2 final_energy_ev_per_cell=-32.84 pbc="T T T"
Sc 0.0000 0.0000 0.0000
Sc 0.0000 0.0000 6.2203
Fe 0.0000 0.0000 13.3061
W 0.0000 0.0000 20.6465

***

Entry 10:
10
Lattice="3.8769 0.0000 0.0000 0.0612 5.0975 0.0000 1.9280 0.5014 6.3622" Properties=species:S:1:pos:R:3 comment="CaCO3, relaxed, DFT PBE" final_energy_ev_per_cell=-74.74 pbc="T T T"
Ca 1.1358 1.7447 1.5402
Ca 4.7303 3.8542 4.8220
C 2.4399 1.3797 4.7604
C 3.4262 4.2192 1.6018
O 1.5713 1.7112 3.8580
O 2.8001 5.2402 4.9710
O 2.9517 2.3376 5.4898
O 2.9144 3.2613 0.8724
O 3.0660 0.3587 1.3912
O 4.2948 3.8878 2.5042

***

Entry 11:
10
Lattice="7.0257 0.0000 0.0000 0.0000 4.2041 0.0000 -2.3309 0.0000 7.7253" Properties=species:S:1:pos:R:3 comment="PrSmTeO2, relaxed, DFT PBE" final_energy_ev_per_cell=-73.92 pbc="T T T"
Pr 0.2491 1.0510 3.2701
Pr 4.4457 3.1531 4.4552
Sm -0.9818 1.0510 7.0507
Sm 5.6766 3.1531 0.6745
Te 1.4184 3.1531 5.7535
Te 3.2764 1.0510 1.9717
O -2.0134 3.1531 6.8072
O -0.7571 3.1531 2.8909
O 5.4519 1.0510 4.8343
O 6.7082 1.0510 0.9181

***

Entry 12:
4
Lattice="2.9913 0.0000 0.0000 0.0000 3.0175 0.0000 0.0000 0.0000 7.2106" Properties=species:S:1:pos:R:3 comment="Cd2CoCu, relaxed, DFT PBE" formation_energy_kcal_per_mol_atoms=4.9 final_energy_ev_per_cell=-12.18 pbc="T T T"
Cd 0.0000 0.0000 0.0000
Cd 1.4956 1.5087 2.3763
Co 0.0000 0.0000 4.1571
Cu 1.4956 1.5087 5.4304

***

Entry 13:
20
Lattice="6.1869 3.5720 5.2025 -6.1869 3.5720 5.2025 0.0000 -7.1441 5.2025" Properties=species:S:1:pos:R:3 comment="La7Tb12Pb, relaxed, DFT PBE" formation_energy_kcal_per_mol_atoms=3.3 final_energy_ev_per_cell=-90.90 pbc="T T T"
La 0.0000 0.0000 0.0000
La -0.9215 -3.6656 5.7801
La -2.7138 2.6309 5.7801
La -3.6353 -1.0348 9.8273
La 3.6353 1.0348 5.7801
La 2.7138 -2.6309 9.8273
La 0.9215 3.6656 9.8273
Tb -2.0876 0.3911 3.0066
Tb 0.7051 -2.0035 3.0066
Tb -2.8075 -0.7521 6.6176
Tb 1.3825 1.6124 3.0067
Tb -0.7524 -2.8074 8.9898
Tb 2.0551 -2.0553 6.6176
Tb -2.0551 2.0553 8.9898
Tb 0.7524 2.8074 6.6176
Tb -1.3825 -1.6124 12.6008
Tb 2.8075 0.7521 8.9898
Tb -0.7051 2.0035 12.6008
Tb 2.0876 -0.3911 12.6008
Pb 0.0000 0.0000 7.8037

***

Entry 14:
28
Lattice="18.0699 0.0000 0.0000 0.0000 4.3014 0.0000 0.0000 0.0000 7.1193" Properties=species:S:1:pos:R:3 comment="ErCo2Sn4, relaxed, DFT PBE" formation_energy_kcal_per_mol_atoms=-6.5 final_energy_ev_per_cell=-147.00 pbc="T T T"
Er 2.5812 1.0753 0.0089
Er 6.4537 3.2260 3.5686
Er 11.6161 1.0753 3.5507
Er 15.4886 3.2260 7.1104
Co 0.6535 3.2260 5.3452
Co 3.8877 1.0753 3.4297
Co 5.1472 3.2260 6.9894
Co 8.3814 1.0753 1.7855
Co 9.6885 3.2260 5.3338
Co 12.9226 1.0753 0.1299
Co 14.1822 3.2260 3.6895
Co 17.4163 1.0753 1.7741
Sn 0.5413 3.2260 0.9462
Sn 1.2356 1.0753 3.6449
Sn 3.2607 3.2260 4.9790
Sn 3.5691 3.2260 1.9792
Sn 5.4658 1.0753 5.5388
Sn 5.7742 1.0753 1.4194
Sn 7.7993 3.2260 0.0852
Sn 8.4936 1.0753 4.5058
Sn 9.5762 3.2260 2.6135
Sn 10.2705 1.0753 7.0341
Sn 12.2956 3.2260 5.6999
Sn 12.6040 3.2260 1.5805
Sn 14.5008 1.0753 5.1401
Sn 14.8091 1.0753 2.1403
Sn 16.8343 3.2260 3.4744
Sn 17.5286 1.0753 6.1731

***

Entry 15:
12
Lattice="3.6199 -7.4859 0.0000 3.6199 7.4859 0.0000 -0.0875 0.0000 6.4866" Properties=species:S:1:pos:R:3 comment="NaSbS4, relaxed, DFT PBE" final_energy_ev_per_cell=-46.80 pbc="T T T"
Na 3.5543 4.4094 4.8649
Na 3.5981 -4.4094 1.6216
Sb 3.5981 6.7169 1.6216
Sb 3.5543 -6.7169 4.8649
S 2.6641 4.3916 2.1660
S 1.5047 0.7924 0.4086
S 1.4609 -0.7924 3.6519
S 4.5320 4.3916 1.0773
S 2.6204 -4.3916 5.4093
S 5.6915 0.7924 2.8346
S 5.6477 -0.7924 6.0779
S 4.4882 -4.3916 4.3206

***

Entry 16:
6
Lattice="0.0000 4.5603 4.5603 4.5603 0.0000 4.5603 4.5603 4.5603 0.0000" Properties=species:S:1:pos:R:3 comment="La4FePb, relaxed, DFT PBE" formation_energy_kcal_per_mol_atoms=11.0 final_energy_ev_per_cell=-29.01 pbc="T T T"
La 1.1372 1.1372 1.1372
La 3.4231 3.4231 1.1372
La 3.4231 1.1372 3.4231
La 1.1372 3.4231 3.4231
Fe 4.5603 4.5603 4.5603
Pb 6.8404 6.8404 6.8404

***

Entry 17:
4
Lattice="3.0434 0.0000 0.0000 0.0000 4.6806 0.0000 -0.1809 0.0000 5.5494" Properties=species:S:1:pos:R:3 comment="CdTeMo2, relaxed, DFT PBE" final_energy_ev_per_cell=-23.09 pbc="T T T"
Cd 0.0000 0.0000 0.0000
Te 1.4313 0.0000 2.7747
Mo 0.9781 2.3403 4.3732
Mo 1.8844 2.3403 1.1762

***

Entry 18:
8
Lattice="4.0735 -5.7350 0.0000 4.0735 5.7350 0.0000 0.0000 0.0000 4.0436" Properties=species:S:1:pos:R:3 comment="Tb4SbS3, relaxed, DFT PBE" final_energy_ev_per_cell=-49.00 pbc="T T T"
Tb 1.8520 0.0000 2.0218
Tb 4.0735 2.9886 0.0000
Tb 4.0735 -2.9886 0.0000
Tb 6.2950 0.0000 2.0218
Sb 4.0735 0.0000 0.0000
S 0.0000 0.0000 0.0000
S 2.0368 2.8675 2.0218
S 2.0368 -2.8675 2.0218

***

Entry 19:
8
Lattice="5.1147 0.0000 0.0000 0.0000 5.1378 0.0000 0.0000 0.0000 10.0254" Properties=species:S:1:pos:R:3 comment="Nd4Dy2ErTm, relaxed, DFT PBE" formation_energy_kcal_per_mol_atoms=0.4 final_energy_ev_per_cell=-37.17 pbc="T T T"
Nd 0.0000 0.0000 2.4996
Nd 0.0000 0.0000 7.5258
Nd 2.5573 2.5689 2.5038
Nd 2.5573 2.5689 7.5216
Dy 0.0000 2.5689 0.0000
Dy 2.5573 0.0000 5.0127
Er 0.0000 2.5689 5.0127
Tm 2.5573 0.0000 0.0000

***

Entry 20:
18
Lattice="7.2906 0.0000 0.0000 0.0000 7.2906 0.0000 0.0000 0.0000 9.8201" Properties=species:S:1:pos:R:3 comment="NaMg4Pb4, relaxed, DFT PBE" formation_energy_kcal_per_mol_atoms=-0.6 final_energy_ev_per_cell=-45.50 pbc="T T T"
Na 1.8227 5.4680 2.4550
Na 5.4680 1.8227 7.3651
Mg 0.2044 1.8227 1.6504
Mg 1.8227 0.2044 6.5604
Mg 1.8227 3.4409 6.5604
Mg 3.4409 1.8227 1.6504
Mg 3.8497 5.4680 8.1698
Mg 5.4680 3.8497 3.2597
Mg 5.4680 7.0862 3.2597
Mg 7.0862 5.4680 8.1698
Pb 0.0765 1.8227 4.6369
Pb 1.8227 0.0765 9.5470
Pb 1.8227 3.5688 9.5470
Pb 3.5688 1.8227 4.6369
Pb 3.7218 5.4680 5.1832
Pb 5.4680 3.7218 0.2731
Pb 5.4680 7.2141 0.2731
Pb 7.2141 5.4680 5.1832